[1]
The following is a DFT calculation (PBE) of a relaxed structure of PaTa4O12.

Results
Raw formation energy: -2.933 eV/atom
Crystal system: tetragonal
ρ: 8013 kg/m³
Calculated total energy: -9.780 eV/atom
Spin magnetization: 0.57 μB/f.u.

Cell and atoms, written as POSCAR:
```
PaTa4O12
1.0
-3.9433 3.9433 3.8208
3.9433 -3.9433 3.8208
3.9433 3.9433 -3.8208
Pa Ta O
1 4 12
direct
0.0000 0.0000 0.0000 Pa
0.0000 0.0000 0.5000 Ta
0.0000 0.5000 0.0000 Ta
0.5000 0.0000 0.0000 Ta
0.5000 0.5000 0.5000 Ta
0.0467 0.8074 0.2394 O
0.1926 0.4320 0.2394 O
0.1926 0.9533 0.7606 O
0.2875 0.2875 0.5750 O
0.2875 0.7125 0.0000 O
0.4320 0.1926 0.2394 O
0.5680 0.8074 0.7606 O
0.7125 0.2875 0.0000 O
0.7125 0.7125 0.4250 O
0.8074 0.0467 0.2394 O
0.8074 0.5680 0.7606 O
0.9533 0.1926 0.7606 O
```

=====

[2]
The following is a DFT calculation (PBE) of a relaxed structure of PrZn9Au2.

Results
Energy relative to the lowest polymorph listed for this composition: 0 meV per atom
Crystal system: tetragonal
ρ: 9167 kg/m³
Calculated total energy: -2.203 eV/atom
Spin magnetization: 0.00 μB/f.u.
Energy relative to the elements: -0.303 eV per atom

Cell and atoms, written as POSCAR:
```
PrZn9Au2
1.0
-5.4112 5.4112 3.4751
5.4112 -5.4112 3.4751
5.4112 5.4112 -3.4751
Pr Zn Au
2 18 4
direct
0.3750 0.6250 0.7500 Pr
0.6250 0.3750 0.2500 Pr
0.1250 0.8750 0.2500 Zn
0.1309 0.5517 0.3365 Zn
0.1309 0.7944 0.5792 Zn
0.2056 0.2848 0.3365 Zn
0.2056 0.8691 0.9208 Zn
0.2848 0.2056 0.8365 Zn
0.2848 0.4483 0.0792 Zn
0.4483 0.2848 0.5792 Zn
0.4483 0.8691 0.1635 Zn
0.5517 0.1309 0.8365 Zn
0.5517 0.7152 0.4208 Zn
0.7152 0.5517 0.9208 Zn
0.7152 0.7944 0.1635 Zn
0.7944 0.1309 0.0792 Zn
0.7944 0.7152 0.6635 Zn
0.8691 0.2056 0.4208 Zn
0.8691 0.4483 0.6635 Zn
0.8750 0.1250 0.7500 Zn
0.0000 0.0000 0.0000 Au
0.0000 0.0000 0.5000 Au
0.0000 0.5000 0.0000 Au
0.5000 0.0000 0.5000 Au
```

=====

[3]
The following is a DFT calculation (PBE) of a relaxed structure of La3ZrF.

Results
Energy relative to the lowest polymorph listed for this composition: 0 meV per atom
Raw formation energy: -0.900 eV/atom
Crystal system: cubic
ρ: 6402 kg/m³
Calculated total energy: -5.941 eV/atom
Spin magnetization: 0.00 μB/f.u.

Cell and atoms, written as POSCAR:
```
La3ZrF
1.0
5.1510 0.0000 0.0000
0.0000 5.1510 0.0000
0.0000 0.0000 5.1510
La Zr F
3 1 1
direct
0.0000 0.0000 0.5000 La
0.0000 0.5000 0.0000 La
0.5000 0.0000 0.0000 La
0.5000 0.5000 0.5000 Zr
0.0000 0.0000 0.0000 F
```

=====

[4]
The following is a DFT calculation (PBE) of a relaxed structure of Nb2Ir2Ru.

Results
Energy relative to the lowest polymorph listed for this composition: 0 meV per atom
Crystal system: tetragonal
ρ: 13424 kg/m³
Calculated total energy: -9.620 eV/atom
Spin magnetization: 0.00 μB/f.u.
Energy relative to the elements: -0.192 eV per atom

Cell and atoms, written as POSCAR:
```
Nb2Ir2Ru
1.0
7.4175 0.0000 0.0000
0.0000 7.4175 0.0000
0.0000 0.0000 3.0185
Nb Ir Ru
4 4 2
direct
0.1702 0.3298 0.0000 Nb
0.3298 0.8298 0.0000 Nb
0.6702 0.1702 0.0000 Nb
0.8298 0.6702 0.0000 Nb
0.1310 0.6310 0.5000 Ir
0.3690 0.1310 0.5000 Ir
0.6310 0.8690 0.5000 Ir
0.8690 0.3690 0.5000 Ir
0.0000 0.0000 0.5000 Ru
0.5000 0.5000 0.5000 Ru
```

=====

[5]
The following is a DFT calculation (PBE) of a relaxed structure of Dy2Si2Ag.

Results
Raw formation energy: -0.667 eV/atom
Crystal system: tetragonal
ρ: 7786 kg/m³
Calculated total energy: -5.247 eV/atom
Spin magnetization: 0.00 μB/f.u.

Cell and atoms, written as POSCAR:
```
Dy2Si2Ag
1.0
6.9898 0.0000 0.0000
0.0000 6.9898 0.0000
0.0000 0.0000 8.5388
Dy Si Ag
8 8 4
direct
0.1762 0.3238 0.0000 Dy
0.1762 0.3238 0.5000 Dy
0.3238 0.8238 0.0000 Dy
0.3238 0.8238 0.5000 Dy
0.6762 0.1762 0.0000 Dy
0.6762 0.1762 0.5000 Dy
0.8238 0.6762 0.0000 Dy
0.8238 0.6762 0.5000 Dy
0.1209 0.6209 0.2500 Si
0.1209 0.6209 0.7500 Si
0.3791 0.1209 0.2500 Si
0.3791 0.1209 0.7500 Si
0.6209 0.8791 0.2500 Si
0.6209 0.8791 0.7500 Si
0.8791 0.3791 0.2500 Si
0.8791 0.3791 0.7500 Si
0.0000 0.0000 0.2497 Ag
0.0000 0.0000 0.7503 Ag
0.5000 0.5000 0.2503 Ag
0.5000 0.5000 0.7497 Ag
```

=====

[6]
The following is a DFT calculation (PBE) of a relaxed structure of ICl2.

Results
Energy relative to the lowest polymorph listed for this composition: 0 meV per atom
Raw formation energy: -0.112 eV/atom
Crystal system: triclinic
ρ: 2580 kg/m³
Calculated total energy: -1.860 eV/atom
Spin magnetization: 0.00 μB/f.u.

Cell and atoms, written as POSCAR:
```
ICl2
1.0
4.2929 0.0000 0.0000
1.1231 6.7741 0.0000
2.1452 0.0560 8.7550
I Cl
2 4
direct
0.0000 0.0000 0.0000 I
0.2389 0.5013 0.5012 I
0.3680 0.2522 0.9452 Cl
0.5521 0.7525 0.5564 Cl
0.6324 0.7476 0.0543 Cl
0.9256 0.2499 0.4464 Cl
```

=====

[7]
The following is a DFT calculation (PBE) of a relaxed structure of LiTaTe2.

Results
Raw formation energy: -0.005 eV/atom
Crystal system: orthorhombic
ρ: 8691 kg/m³
Calculated total energy: -5.018 eV/atom
Spin magnetization: 0.00 μB/f.u.

Cell and atoms, written as POSCAR:
```
LiTaTe2
1.0
3.4351 0.0000 0.0000
0.0000 4.9579 0.0000
0.0000 0.0000 4.9709
Li Ta Te
1 1 2
direct
0.0000 0.0000 0.0000 Li
0.0000 0.5000 0.5000 Ta
0.5000 0.0000 0.5000 Te
0.5000 0.5000 0.0000 Te
```

=====

[8]
The following is a DFT calculation (PBE) of a relaxed structure of RbAlGe.

Results
Crystal system: orthorhombic
ρ: 3184 kg/m³
Calculated total energy: -3.128 eV/atom
Spin magnetization: 0.00 μB/f.u.
Energy relative to the elements: -0.019 eV per atom

Cell and atoms, written as POSCAR:
```
RbAlGe
1.0
4.3390 0.0000 0.0000
0.0000 5.8806 0.0000
0.0000 0.0000 7.5673
Rb Al Ge
2 2 2
direct
0.0000 0.0000 0.0000 Rb
0.5000 0.0000 0.5000 Rb
0.0000 0.5000 0.3277 Al
0.0000 0.5000 0.6723 Al
0.5000 0.5000 0.1644 Ge
0.5000 0.5000 0.8356 Ge
```

=====

Question: What is the formula in the seventh record?
Answer: LiTaTe2

=====

Question: What is the calculated total energy in the sixth record?
Answer: -1.860 eV/atom

=====

Question: Which of these has the highest ρ?
Answer: Nb2Ir2Ru

=====

Question: calculated total energy of number 4 (Nb2Ir2Ru)?
Answer: -9.620 eV/atom